Entry from the Alexandria database: a relaxed MgRh4W crystal (PBE-GGA).

Cell: 5.096 5.096 5.096 Å, 60.00 60.00 60.00°
Atoms (fractional coordinates):
Mg1 0.000 0.000 0.000
Rh1 0.876 0.375 0.375
Rh2 0.375 0.375 0.876
Rh3 0.375 0.876 0.375
Rh4 0.375 0.375 0.375
W1 0.750 0.750 0.750

Results
Total magnetization (μB per formula unit): 0.000
D(E_F) (states/eV/f.u.): 5.122
Symmetry: F-43m
ΔH_f (0 K) (eV per formula unit): 0.424

Entry from the Alexandria database: a relaxed MgRh2W crystal (PBE-GGA).

Cell: 9.274 9.274 9.274 Å, 17.43 17.43 17.43°
Each line ends with the local moment (μB).
Atoms (fractional coordinates):
Mg1 0.745 0.745 0.745  0.00
Rh1 0.001 0.001 0.001  0.24
Rh2 0.249 0.249 0.249  0.03
W1 0.506 0.506 0.506  -0.01

Results
Total magnetization (μB per formula unit): 0.249
D(E_F) (states/eV/f.u.): 4.376
Symmetry: R3m
ΔH_f (0 K) (eV per formula unit): 0.171

Entry from the Alexandria database: a relaxed MgRh2W crystal (PBE-GGA).

Cell: 2.801 5.237 5.197 Å, 53.83 90.00 90.00°
Atoms (fractional coordinates):
Mg1 0.000 0.000 0.500
Rh1 0.000 0.000 0.000
Rh2 0.500 0.500 0.000
W1 0.500 0.500 0.500

Results
Total magnetization (μB per formula unit): 0.000
D(E_F) (states/eV/f.u.): 3.386
Symmetry: P2/m
ΔH_f (0 K) (eV per formula unit): -0.018

Entry from the Alexandria database: a relaxed MgRh2W crystal (PBE-GGA).

Cell: 8.883 8.883 8.883 Å, 18.53 18.53 18.53°
Atoms (fractional coordinates):
Mg1 0.750 0.750 0.750
Rh1 0.998 0.998 0.998
Rh2 0.502 0.502 0.502
W1 0.250 0.250 0.250

Results
Total magnetization (μB per formula unit): 0.000
D(E_F) (states/eV/f.u.): 4.273
Symmetry: R-3m
ΔH_f (0 K) (eV per formula unit): -0.619